10
Lattice="5.9623 0.0000 0.0000 0.0000 4.1811 0.0000 -1.4642 0.0000 13.3475" Properties=species:S:1:pos:R:3 comment="LaPr2Sn2 | the Alexandria database | PBE | optimized geometry" density_g_cm3=6.57 dos_ef_per_ev_cell=10.04 space_group="P2_1/m (11)" polymorph_energy_mev_per_atom=71 magmom_total_mub_per_cell=0.00 e_form_ev_per_atom=-0.4543 pbc="T T T"
La 0.8279 1.0453 3.3612
La 3.6701 3.1358 9.9863
Pr 0.7678 3.1358 6.1905
Pr 0.7261 1.0453 11.8796
Pr 3.7719 3.1358 1.4678
Pr 3.7302 1.0453 7.1570
Sn 0.8471 3.1358 0.6614
Sn 0.7373 1.0453 8.7428
Sn 3.7607 3.1358 4.6046
Sn 3.6509 1.0453 12.6861